Record 1
! Ca6Mg5In PBE-GGA optimized geometry; values from VASP
! - V: 30.492 Å³/atom
! - ΔH_f (0 K): -0.160 eV/atom
! - Total DFT energy (no corrections): -24.645 eV for the cell shown
&SYSTEM
  ibrav = 0, nat = 12, ntyp = 3
/
ATOMIC_SPECIES
In 114.82 In.upf
Ca 40.08 Ca.upf
Mg 24.30 Mg.upf
CELL_PARAMETERS angstrom
5.3736 0.0022 -1.1230
-0.0035 8.1209 -0.0008
-1.0093 0.0005 8.5958
ATOMIC_POSITIONS angstrom
In 0.0000 0.0000 0.0000
Ca 1.6748 6.1367 8.0337
Ca 0.5659 6.1094 2.6319
Ca 2.6859 1.9869 -0.5617
Ca 3.7930 6.1111 4.8397
Ca 0.5677 2.0125 2.6323
Ca 3.7948 2.0142 4.8401
Mg 1.0877 4.0615 5.3509
Mg -0.0018 4.0604 -0.0004
Mg 1.0789 0.0011 5.3259
Mg 3.2818 8.1225 2.1462
Mg 3.2730 4.0621 2.1211

---

Record 2
! CaMgIn3 PBE-GGA optimized geometry; values from VASP
! - V: 40.469 Å³/atom
! - ΔH_f (0 K): 0.605 eV/atom
! - Total DFT energy (no corrections): -8.785 eV for the cell shown
&SYSTEM
  ibrav = 0, nat = 5, ntyp = 3
/
ATOMIC_SPECIES
In 114.82 In.upf
Mg 24.30 Mg.upf
Ca 40.08 Ca.upf
CELL_PARAMETERS angstrom
5.8708 0.0000 0.0000
0.0000 5.8708 0.0000
0.0000 0.0000 5.8708
ATOMIC_POSITIONS angstrom
In 0.0000 2.9354 0.0000
In 2.9354 0.0000 0.0000
In 0.0000 0.0000 2.9354
Mg 2.9354 2.9354 2.9354
Ca 0.0000 0.0000 0.0000

---

Record 3
! Ca2MgIn PBE-GGA optimized geometry; values from VASP
! - Offset from the most stable computed form: 144 meV per atom
! - V: 29.495 Å³/atom
! - ΔH_f (0 K): -0.172 eV/atom
! - Total DFT energy (no corrections): -9.022 eV for the cell shown
&SYSTEM
  ibrav = 0, nat = 4, ntyp = 3
/
ATOMIC_SPECIES
Ca 40.08 Ca.upf
Mg 24.30 Mg.upf
In 114.82 In.upf
CELL_PARAMETERS angstrom
5.9548 -0.1039 0.0000
1.9441 5.6294 0.0000
-3.9495 -2.7628 3.4984
ATOMIC_POSITIONS angstrom
Ca 0.0000 0.0000 0.0000
Ca 0.9721 2.8147 1.7492
Mg 2.9774 -0.0519 1.7492
In 3.9495 2.7628 0.0000

---

Record 4
! CaMg3In9 PBE-GGA optimized geometry; values from VASP
! - V: 26.200 Å³/atom
! - ΔH_f (0 K): -0.086 eV/atom
! - Total DFT energy (no corrections): -32.552 eV for the cell shown
&SYSTEM
  ibrav = 0, nat = 13, ntyp = 3
/
ATOMIC_SPECIES
Ca 40.08 Ca.upf
In 114.82 In.upf
Mg 24.30 Mg.upf
CELL_PARAMETERS angstrom
-4.3477 -0.7114 4.2074
0.5331 -7.3389 3.2177
2.4124 2.2483 7.2831
ATOMIC_POSITIONS angstrom
Ca 0.0000 0.0000 0.0000
In -3.1205 -4.7051 8.8870
In -1.7740 -2.2012 6.4358
In 0.2665 -3.6694 1.6088
In 1.7183 -1.0968 5.8211
In -0.2088 -0.1150 8.5498
In 0.3718 -3.6007 8.2724
In -0.6715 -1.2563 3.4687
In -1.1933 -5.6869 6.1583
In -0.7307 -4.5456 11.2395
Mg 1.2062 1.1242 3.6416
Mg -0.9676 0.7685 5.7452
Mg -1.9073 -4.0251 3.7125

---

Record 5
! Ca2MgIn PBE-GGA optimized geometry; values from VASP
! - Offset from the most stable computed form: 203 meV per atom
! - V: 32.075 Å³/atom
! - ΔH_f (0 K): -0.112 eV/atom
! - Total DFT energy (no corrections): -8.784 eV for the cell shown
&SYSTEM
  ibrav = 0, nat = 4, ntyp = 3
/
ATOMIC_SPECIES
Ca 40.08 Ca.upf
In 114.82 In.upf
Mg 24.30 Mg.upf
CELL_PARAMETERS angstrom
3.7178 0.0000 0.0000
1.8589 3.2197 0.0000
1.8589 1.0732 10.7184
ATOMIC_POSITIONS angstrom
Ca 1.8589 1.0732 2.5585
Ca 1.8589 1.0732 8.1575
In 3.7178 2.1465 0.0023
Mg 3.7178 2.1465 5.3593

---

Record 6
! CaMgIn PBE-GGA optimized geometry; values from VASP
! - V: 33.992 Å³/atom
! - ΔH_f (0 K): 0.228 eV/atom
! - Total DFT energy (no corrections): -5.651 eV for the cell shown
&SYSTEM
  ibrav = 0, nat = 3, ntyp = 3
/
ATOMIC_SPECIES
In 114.82 In.upf
Ca 40.08 Ca.upf
Mg 24.30 Mg.upf
CELL_PARAMETERS angstrom
-4.9863 -1.5762 -0.3908
-1.4463 -3.1780 -3.9127
-1.2587 -4.9907 1.0046
ATOMIC_POSITIONS angstrom
In 0.0000 0.0000 0.0000
Ca -5.7685 -7.3087 -2.4742
Mg -3.8457 -4.8725 -1.6494

---

Record 7
! CaMg2In PBE-GGA optimized geometry; values from VASP
! - V: 27.630 Å³/atom
! - ΔH_f (0 K): -0.183 eV/atom
! - Total DFT energy (no corrections): -17.319 eV for the cell shown
&SYSTEM
  ibrav = 0, nat = 8, ntyp = 3
/
ATOMIC_SPECIES
In 114.82 In.upf
Mg 24.30 Mg.upf
Ca 40.08 Ca.upf
CELL_PARAMETERS angstrom
-2.3320 3.5869 -0.9839
-3.6224 -1.9268 1.5613
2.2047 4.2881 10.4071
ATOMIC_POSITIONS angstrom
In -1.0978 0.4240 4.1479
In 0.3254 4.6941 6.5479
Mg -1.8748 2.9741 5.4923
Mg 0.9058 5.8229 9.2876
Mg -1.6782 -0.7048 1.4083
Mg 1.1024 2.1440 5.2036
Ca -0.6441 2.8086 1.9718
Ca -0.1284 2.3096 8.7241

---

Record 8
! Ca2MgIn PBE-GGA optimized geometry; values from VASP
! - Offset from the most stable computed form: 353 meV per atom
! - V: 33.174 Å³/atom
! - ΔH_f (0 K): 0.038 eV/atom
! - Total DFT energy (no corrections): -16.367 eV for the cell shown
&SYSTEM
  ibrav = 0, nat = 8, ntyp = 3
/
ATOMIC_SPECIES
Ca 40.08 Ca.upf
Mg 24.30 Mg.upf
In 114.82 In.upf
CELL_PARAMETERS angstrom
-6.7251 5.3093 -1.7776
-4.4753 -6.7668 -3.2796
-6.9327 -1.3670 0.6065
ATOMIC_POSITIONS angstrom
Ca -9.3504 -1.4973 -1.4055
Ca -5.2969 -3.9658 -2.1008
Ca -6.5698 2.1891 -1.3889
Ca -15.0492 -2.3751 -4.0063
Mg -5.6002 -0.7288 -2.5286
Mg -8.5041 -4.4313 -2.6009
In -9.6290 1.6067 -1.8499
In 0.0000 0.0000 0.0000

---

Record 9
! Ca5MgIn3 PBE-GGA optimized geometry; values from VASP
! - V: 30.483 Å³/atom
! - ΔH_f (0 K): -0.321 eV/atom
! - Total DFT energy (no corrections): -45.416 eV for the cell shown
&SYSTEM
  ibrav = 0, nat = 18, ntyp = 3
/
ATOMIC_SPECIES
Ca 40.08 Ca.upf
Mg 24.30 Mg.upf
In 114.82 In.upf
CELL_PARAMETERS angstrom
-2.0562 5.7687 3.0176
-7.7324 -4.5747 3.4765
8.1611 0.2344 5.1129
ATOMIC_POSITIONS angstrom
Ca -2.4345 -2.9717 4.0220
Ca 5.1398 1.6045 4.2966
Ca -5.8710 -1.7271 3.1629
Ca 2.8632 -1.3686 4.5674
Ca -3.9176 2.9211 3.3312
Ca -0.3824 0.1087 3.3932
Ca -1.2451 1.3197 8.2138
Ca -3.4626 -0.0873 5.5308
Ca -6.7673 -0.1761 7.3104
Ca 1.8351 1.5158 6.0762
Mg 0.0000 0.0000 0.0000
Mg -1.0281 2.8844 1.5088
In -3.2774 -0.1927 1.9968
In -0.2387 -1.3471 6.2743
In -1.3889 2.7755 5.3327
In 2.4023 1.5259 2.5816
In -4.0298 -0.0975 9.0254
In -6.5112 1.3867 4.4973

---

Record 10
! CaMg15In4 PBE-GGA optimized geometry; values from VASP
! - V: 23.606 Å³/atom
! - ΔH_f (0 K): -0.064 eV/atom
! - Total DFT energy (no corrections): -38.146 eV for the cell shown
&SYSTEM
  ibrav = 0, nat = 20, ntyp = 3
/
ATOMIC_SPECIES
Mg 24.30 Mg.upf
In 114.82 In.upf
Ca 40.08 Ca.upf
CELL_PARAMETERS angstrom
4.6391 0.0000 0.0000
0.0000 4.6391 0.0000
0.0000 0.0000 21.9378
ATOMIC_POSITIONS angstrom
Mg 2.3195 0.0000 10.9689
Mg 2.3195 0.0000 2.3822
Mg 2.3195 0.0000 6.6446
Mg 0.0000 2.3195 6.6446
Mg 2.3195 0.0000 19.5555
Mg 0.0000 2.3195 19.5555
Mg 2.3195 0.0000 15.2931
Mg 2.3195 2.3195 0.0000
Mg 0.0000 2.3195 15.2931
Mg 2.3195 2.3195 13.1316
Mg 2.3195 2.3195 4.5302
Mg 0.0000 2.3195 10.9689
Mg 0.0000 2.3195 2.3822
Mg 2.3195 2.3195 8.8062
Mg 2.3195 2.3195 17.4076
In 0.0000 0.0000 13.1262
In 0.0000 0.0000 4.4930
In 0.0000 0.0000 17.4448
In 0.0000 0.0000 8.8115
Ca 0.0000 0.0000 0.0000

---

Record 11
! CaMg2In2 PBE-GGA optimized geometry; values from VASP
! - Offset from the most stable computed form: 55 meV per atom
! - V: 25.378 Å³/atom
! - ΔH_f (0 K): -0.182 eV/atom
! - Total DFT energy (no corrections): -23.158 eV for the cell shown
&SYSTEM
  ibrav = 0, nat = 10, ntyp = 3
/
ATOMIC_SPECIES
In 114.82 In.upf
Mg 24.30 Mg.upf
Ca 40.08 Ca.upf
CELL_PARAMETERS angstrom
-4.4382 -6.5022 3.6454
5.0301 0.5189 7.0494
-2.1382 2.2231 1.3620
ATOMIC_POSITIONS angstrom
In -1.6217 -0.9038 3.1029
In -3.0964 -4.0781 5.9688
In 0.0755 -2.8564 8.9541
In 1.5501 0.3179 6.0881
Mg -0.7611 -5.3811 7.5879
Mg -2.1465 -3.9854 3.1353
Mg 1.3530 -0.6022 3.1070
Mg 2.7383 -1.9979 7.5596
Ca 0.0000 0.0000 0.0000
Ca 0.2959 -2.9917 5.3474

---

Record 12
! CaMg8In6 PBE-GGA optimized geometry; values from VASP
! - V: 26.741 Å³/atom
! - ΔH_f (0 K): -0.017 eV/atom
! - Total DFT energy (no corrections): -31.449 eV for the cell shown
&SYSTEM
  ibrav = 0, nat = 15, ntyp = 3
/
ATOMIC_SPECIES
Mg 24.30 Mg.upf
In 114.82 In.upf
Ca 40.08 Ca.upf
CELL_PARAMETERS angstrom
8.7348 0.0000 0.0000
4.3674 7.5646 0.0000
4.3674 2.5215 6.0707
ATOMIC_POSITIONS angstrom
Mg 7.2818 7.5527 2.0705
Mg 7.2880 2.5299 2.0705
Mg 8.7348 5.0430 6.0032
Mg 10.1879 2.5334 4.0001
Mg 8.7348 5.0430 0.0674
Mg 5.8349 5.0395 4.0001
Mg 10.1817 7.5562 4.0001
Mg 11.6347 5.0466 2.0705
In 11.6203 5.1276 4.9980
In 10.2508 2.5864 1.0727
In 7.2189 7.4997 4.9980
In 7.3653 2.5018 4.9980
In 5.8493 4.9585 1.0727
In 10.1043 7.5842 1.0727
Ca 0.0000 0.0000 0.0000

---

DOS at the Fermi energy readings, ordered: 0.711 1.104 0.833 0.478 0.735 1.570 0.499 0.814 0.808 0.455 0.600 0.599 states/eV/atom